# 1
# ScNb2P (PBE-GGA, relaxed)
data_ScNb2P
_cell_length_a 3.869
_cell_length_b 3.869
_cell_length_c 19.802
_cell_angle_alpha 90.00
_cell_angle_beta 90.00
_cell_angle_gamma 90.00
_symmetry_space_group_name_H-M 'I -4 2 d'
_symmetry_Int_Tables_number 122
_symmetry_space_group_name_Hall 'I -4 2bw'
loop_
_atom_site_label
_atom_site_fract_x
_atom_site_fract_y
_atom_site_fract_z
Sc1 0.000 0.000 0.000
Nb1 0.239 0.250 0.625
P1 0.000 0.000 0.500
# Formation energy from the elements   -0.107 eV/atom
# M_tot   0.00 μB/cell


# 2
# CePmNdSn (PBE-GGA, relaxed)
data_CePmNdSn
_cell_length_a 7.773
_cell_length_b 7.773
_cell_length_c 7.773
_cell_angle_alpha 90.00
_cell_angle_beta 90.00
_cell_angle_gamma 90.00
_symmetry_space_group_name_H-M 'F -4 3 m'
_symmetry_Int_Tables_number 216
_symmetry_space_group_name_Hall 'F -4 2 3'
loop_
_atom_site_label
_atom_site_fract_x
_atom_site_fract_y
_atom_site_fract_z
Ce1 0.000 0.000 0.000
Pm1 0.250 0.250 0.250
Nd1 0.250 0.250 0.750
Sn1 0.000 0.000 0.500
# Formation energy from the elements   -0.217 eV/atom
# M_tot   2.08 μB/cell


# 3
# LaFeAsBr2 (PBE-GGA, relaxed)
data_LaFeAsBr2
_cell_length_a 4.919
_cell_length_b 4.919
_cell_length_c 5.051
_cell_angle_alpha 90.00
_cell_angle_beta 90.00
_cell_angle_gamma 90.00
_symmetry_space_group_name_H-M 'P 4/m m m'
_symmetry_Int_Tables_number 123
_symmetry_space_group_name_Hall '-P 4 2'
loop_
_atom_site_label
_atom_site_fract_x
_atom_site_fract_y
_atom_site_fract_z
La1 0.000 0.000 0.000
Fe1 0.500 0.500 0.500
As1 0.500 0.500 0.000
Br1 0.000 0.500 0.500
# Formation energy without anion corrections   -0.537 eV per atom
# M_tot   3.19 μB/cell